A plane-wave DFT calculation with PBE was carried out for an optimized crystal structure of TaCu2W.

Results
Crystal system   orthorhombic
Spin magnetization   0.000 μB per atom
Calculated formation energy   0.24 eV/atom
Offset from the most stable computed form   98 meV/atom
Symmetry   Pmmm, No. 47

a = 2.7748 Å, b = 3.8362 Å, c = 5.4772 Å
α = 90.00°, β = 90.00°, γ = 90.00°
Element x y z (fractional)
Ta 0.0000 0.0000 0.0000
Cu 0.5000 0.5000 0.2586
Cu 0.5000 0.5000 0.7414
W 0.0000 0.0000 0.5000

=====

A plane-wave DFT calculation with PBE was carried out for an optimized crystal structure of HfVTc2.

Results
Crystal system   tetragonal
Spin magnetization   0.000 μB per atom
Calculated formation energy   -0.39 eV/atom
Symmetry   P4/mmm, No. 123

a = 3.1389 Å, b = 3.1389 Å, c = 6.3446 Å
α = 90.00°, β = 90.00°, γ = 90.00°
Element x y z (fractional)
Hf 0.0000 0.0000 0.0000
V 0.0000 0.0000 0.5000
Tc 0.5000 0.5000 0.2690
Tc 0.5000 0.5000 0.7310

=====

A plane-wave DFT calculation with PBE was carried out for an optimized crystal structure of Tm3H2Pb2.

Results
Crystal system   monoclinic
Spin magnetization   0.000 μB per atom
Offset from the most stable computed form   87 meV/atom
Symmetry   C2/m, No. 12

a = 6.4075 Å, b = 6.4075 Å, c = 5.8270 Å
α = 104.36°, β = 104.36°, γ = 40.30°
Element x y z (fractional)
Tm 0.0000 0.0000 0.0000
Tm 0.2845 0.2845 0.7178
Tm 0.7155 0.7155 0.2822
H 0.1604 0.1604 0.3270
H 0.8396 0.8396 0.6730
Pb 0.4031 0.4031 0.2688
Pb 0.5969 0.5969 0.7312